Cs2LaOsI6: relaxed, PBE.

Summary:
formation energy (no corrections): -0.805 eV/atom

Lattice parameters (Å, degrees): 8.3998 8.3998 11.8974 90.00 90.00 90.00
Last column: nearest neighbours and their distance in Å.
Space group I4/mmm (No. 139)
One atom of each set of equivalent atoms:
1 Cs 0.0000 0.5000 0.2500 x4  12 I 4.20-4.21
2 La 0.0000 0.0000 0.0000 x2  6 I 3.17
3 Os 0.0000 0.0000 0.5000 x2  6 I 2.77-2.78
4 I 0.0000 0.0000 0.2662 x4  1 Os 2.78
5 I 0.2335 0.2335 0.5000 x8  1 Os 2.77